[1]
A plane-wave DFT calculation with PBE-GGA was carried out for TaIn2As after structural relaxation.

Properties
- space-group type = Immm, No. 71
- energy of formation from the pure elements (meV per atom) = 110

```
TaIn2As
1.0
-1.4929 2.1630 7.2819
1.4929 -2.1630 7.2819
1.4929 2.1630 -7.2819
Ta In As
1 2 1
Cartesian
0.0000 0.0000 0.0000
1.4929 0.0000 2.7034
0.0000 2.1630 4.5785
0.0000 0.0000 7.2819
```

***

[2]
A plane-wave DFT calculation with PBE-GGA was carried out for PrBeH4 after structural relaxation.

Properties
- space-group type = Pmn2_1, No. 31

```
PrBeH4
1.0
6.4916 0.0000 0.0000
0.0000 4.4664 0.0000
0.0000 0.0000 4.3470
Pr Be H
2 2 8
Cartesian
0.0000 0.8947 0.0000
3.2458 3.5717 2.1735
0.0000 3.1755 2.2134
3.2458 1.2909 0.0399
0.0000 1.7658 2.0662
0.0000 3.2110 3.6403
1.0633 3.9582 1.5968
2.1825 0.5083 3.7703
3.2458 1.2555 1.4668
3.2458 2.7006 4.2397
4.3091 0.5083 3.7703
5.4283 3.9582 1.5968
```

***

[3]
A plane-wave DFT calculation with PBE-GGA was carried out for K2ZrCu after structural relaxation.

Properties
- energy above the lowest structure with this stoichiometry (eV per formula unit) = 2.04
- space-group type = C2/m, No. 12
- energy of formation from the pure elements (meV per atom) = 917

```
K2ZrCu
1.0
3.1052 -6.3535 0.0000
3.1052 6.3535 0.0000
-1.5924 0.0000 2.8454
K Zr Cu
2 1 1
Cartesian
1.5526 3.1768 0.0000
1.5526 -3.1768 0.0000
-0.7962 0.0000 1.4227
2.3091 0.0000 1.4227
```

***

[4]
A plane-wave DFT calculation with PBE-GGA was carried out for YTlPt after structural relaxation.

Properties
- space-group type = P3m1, No. 156
- energy of formation from the pure elements (meV per atom) = -532

```
YTlPt
1.0
4.2036 0.0000 0.0000
-2.1018 3.6404 0.0000
0.0000 0.0000 5.1500
Y Tl Pt
1 1 1
Cartesian
0.0000 0.0000 0.0000
0.0000 2.4269 2.8620
2.1018 1.2135 1.4474
```

***

[5]
A plane-wave DFT calculation with PBE-GGA was carried out for La3Ho2Tm6Pu after structural relaxation.

Properties
- space-group type = C2/m, No. 12
- energy of formation from the pure elements (meV per atom) = 46

```
La3Ho2Tm6Pu
1.0
3.0757 -5.3282 0.0000
3.0757 5.3282 0.0000
-2.0535 0.0000 11.4750
La Ho Tm Pu
3 2 6 1
Cartesian
0.0000 0.0000 0.0000
3.0757 1.7853 0.0000
3.0757 -1.7853 0.0000
2.0490 3.5529 5.7375
2.0490 -3.5529 5.7375
1.0392 1.7524 2.9565
0.0221 0.0000 8.5225
1.0392 -1.7524 2.9565
3.0587 1.7524 8.5185
4.0758 0.0000 2.9526
3.0587 -1.7524 8.5185
2.0490 0.0000 5.7375
```

***

[6]
A plane-wave DFT calculation with PBE-GGA was carried out for TbHo12Sc5 after structural relaxation.

Properties
- space-group type = C2/m, No. 12
- energy of formation from the pure elements (meV per atom) = 34

```
TbHo12Sc5
1.0
3.0065 -5.2059 0.0000
3.0065 5.2059 0.0000
-2.0045 0.0000 16.7355
Tb Ho Sc
1 12 5
Cartesian
0.0000 0.0000 0.0000
1.0129 1.7527 2.7716
0.0025 0.0000 5.6511
0.9993 1.7356 11.0748
0.0195 0.0000 13.9636
1.0129 -1.7527 2.7716
3.0092 1.7356 5.6607
0.9993 -1.7356 11.0748
2.9956 1.7527 13.9639
3.9890 0.0000 2.7719
3.0092 -1.7356 5.6607
4.0060 0.0000 11.0844
2.9956 -1.7527 13.9639
2.0042 3.4762 8.3677
3.0065 1.7357 0.0000
2.0042 0.0000 8.3677
3.0065 -1.7357 0.0000
2.0042 -3.4762 8.3677
```

***

In Å³/f.u., the calculated volume values for the records above are, in order, 94.05; 63.02; 112.27; 78.81; 376.11; 523.88.
In eV per atom, the raw total energy values for the records above are, in order, -5.38; -3.96; -2.79; -5.49; -5.38; -5.03.